A plane-wave DFT calculation with GGA-PBEsol was carried out for a relaxed structure of CuSi2Pb.

Geometry as extended XYZ:
```
16
Lattice="6.590 0.000 0.000 0.000 6.590 0.000 0.000 0.000 6.590" Properties=species:S:1:pos:R:3 pbc="T T T"
Cu 0.000 0.000 0.000
Cu 0.000 3.295 3.295
Cu 3.295 0.000 3.295
Cu 3.295 3.295 0.000
Si 0.000 0.000 3.295
Si 0.000 3.295 0.000
Si 1.647 1.647 4.942
Si 1.647 4.942 1.647
Si 3.295 0.000 0.000
Si 3.295 3.295 3.295
Si 4.942 1.647 1.647
Si 4.942 4.942 4.942
Pb 1.647 1.647 1.647
Pb 1.647 4.942 4.942
Pb 4.942 1.647 4.942
Pb 4.942 4.942 1.647
```

Properties
crystal system	cubic



A plane-wave DFT calculation with GGA-PBEsol was carried out for a relaxed structure of CuSiPbW2.

Geometry as extended XYZ:
```
5
Lattice="4.509 0.000 0.000 0.000 4.509 0.000 0.000 0.000 5.124" Properties=species:S:1:pos:R:3 pbc="T T T"
Cu 0.000 0.000 0.000
Si 2.255 2.255 2.562
Pb 2.255 2.255 0.000
W 0.000 2.255 2.562
W 2.255 0.000 2.562
```

Properties
crystal system	tetragonal



no.,uncorrected formation energy (eV/atom)
1,0.583
2,1.768